Density functional theory data (PBE) for crystalline Nd2ErI at its relaxed geometry.

Calculated values
Energy above the most stable polymorph in this dataset ... 286 meV per atom
Raw formation energy ... -0.104 eV per atom
Space-group type ... R-3m, No. 166
Raw total energy ... -4.016 eV/atom

a = 12.0194 Å, b = 12.0194 Å, c = 12.0194 Å
α = 17.46°, β = 17.46°, γ = 17.46°
Closest atoms and distances in Å follow each position.
Atoms (fractional coordinates):
1 Nd 0.0943 0.0943 0.0943  3 I 3.32, 1 Er 3.35, 6 Nd 3.65
2 Nd 0.9057 0.9057 0.9057  3 I 3.32, 1 Er 3.35, 6 Nd 3.65
3 Er 0.0000 0.0000 0.0000  2 Nd 3.35, 6 Er 3.65
4 I 0.5000 0.5000 0.5000  6 Nd 3.32, 6 I 3.65

---

Density functional theory data (PBE) for crystalline NdErI at its relaxed geometry.

Calculated values
Energy above the most stable polymorph in this dataset ... 0 meV per atom
Raw formation energy ... -0.271 eV per atom
Space-group type ... Immm, No. 71
Raw total energy ... -3.898 eV/atom

a = 9.6557 Å, b = 9.6557 Å, c = 9.6557 Å
α = 157.65°, β = 143.73°, γ = 43.02°
Closest atoms and distances in Å follow each position.
Atoms (fractional coordinates):
1 Nd 0.1488 0.1488 0.0000  5 I 3.31-3.56, 4 Er 3.58
2 Nd 0.8512 0.8512 0.0000  5 I 3.31-3.56, 4 Er 3.58
3 Er 0.2457 0.5000 0.7457  2 Er 2.95-3.06
4 Er 0.7543 0.5000 0.2543  2 Er 2.95-3.06
5 I 0.3327 0.3327 0.0000  5 Nd 3.31-3.56, 2 Er 3.37
6 I 0.6673 0.6673 0.0000  5 Nd 3.31-3.56, 2 Er 3.37

---

Density functional theory data (PBE) for crystalline Nd2ErI6 at its relaxed geometry.

Calculated values
Raw formation energy ... -1.139 eV per atom
Space-group type ... P4_2/mnm, No. 136
Raw total energy ... -3.739 eV/atom

a = 7.8815 Å, b = 7.8815 Å, c = 12.1370 Å
α = 90.00°, β = 90.00°, γ = 90.00°
Closest atoms and distances in Å follow each position.
Atoms (fractional coordinates):
1 Nd 0.0000 0.0000 0.1552  6 I 3.15-3.25
2 Nd 0.0000 0.0000 0.8448  6 I 3.15-3.25
3 Nd 0.5000 0.5000 0.3448  6 I 3.15-3.25
4 Nd 0.5000 0.5000 0.6552  6 I 3.15-3.25
5 Er 0.0000 0.0000 0.5000  6 I 3.04-3.06
6 Er 0.5000 0.5000 0.0000  6 I 3.04-3.06
7 I 0.2088 0.2088 0.3365  1 Er 3.06, 2 Nd 3.20-3.25
8 I 0.2088 0.2088 0.6635  1 Er 3.06, 2 Nd 3.20-3.25
9 I 0.2270 0.2270 0.0000  1 Er 3.04, 2 Nd 3.15
10 I 0.2730 0.7270 0.5000  1 Er 3.04, 2 Nd 3.15
11 I 0.2912 0.7088 0.1635  1 Er 3.06, 2 Nd 3.20-3.25
12 I 0.2912 0.7088 0.8365  1 Er 3.06, 2 Nd 3.20-3.25
13 I 0.7088 0.2912 0.1635  1 Er 3.06, 2 Nd 3.20-3.25
14 I 0.7088 0.2912 0.8365  1 Er 3.06, 2 Nd 3.20-3.25
15 I 0.7270 0.2730 0.5000  1 Er 3.04, 2 Nd 3.15
16 I 0.7730 0.7730 0.0000  1 Er 3.04, 2 Nd 3.15
17 I 0.7912 0.7912 0.3365  1 Er 3.06, 2 Nd 3.20-3.25
18 I 0.7912 0.7912 0.6635  1 Er 3.06, 2 Nd 3.20-3.25

---

Density functional theory data (PBE) for crystalline NdEr2IO8 at its relaxed geometry.

Calculated values
Raw formation energy ... -2.319 eV per atom
Space-group type ... P2/m, No. 10
Raw total energy ... -6.911 eV/atom

a = 5.0256 Å, b = 6.9248 Å, c = 5.0261 Å
α = 90.00°, β = 90.34°, γ = 90.00°
Closest atoms and distances in Å follow each position.
Atoms (fractional coordinates):
1 Nd 0.0000 0.0000 0.0000  6 O 2.27-2.44
2 Er 0.5000 0.2487 0.5000  6 O 2.16-2.40
3 Er 0.5000 0.7513 0.5000  6 O 2.16-2.40
4 I 0.0000 0.5000 0.0000  6 O 1.91
5 O 0.1836 0.2981 0.1849  1 I 1.91
6 O 0.1836 0.7019 0.1849  1 I 1.91
7 O 0.2684 0.5000 0.7332  1 I 1.91
8 O 0.3187 0.0000 0.6827  2 Er 2.16, 1 Nd 2.27
9 O 0.6813 0.0000 0.3173  2 Er 2.16, 1 Nd 2.27
10 O 0.7316 0.5000 0.2668  1 I 1.91
11 O 0.8164 0.2981 0.8151  1 I 1.91
12 O 0.8164 0.7019 0.8151  1 I 1.91

---

Density functional theory data (PBE) for crystalline NdErIO6 at its relaxed geometry.

Calculated values
Raw formation energy ... -2.038 eV per atom
Space-group type ... P-31c, No. 163
Raw total energy ... -6.553 eV/atom

a = 5.6240 Å, b = 5.6240 Å, c = 9.9425 Å
α = 90.00°, β = 90.00°, γ = 120.00°
Closest atoms and distances in Å follow each position.
Atoms (fractional coordinates):
1 Nd 0.0000 0.0000 0.0000  6 O 2.42
2 Nd 0.0000 0.0000 0.5000  6 O 2.42
3 Er 0.3333 0.6667 0.2500  6 O 2.25
4 Er 0.6667 0.3333 0.7500  6 O 2.25
5 I 0.3333 0.6667 0.7500  6 O 2.02
6 I 0.6667 0.3333 0.2500  6 O 2.02
7 O 0.0317 0.3701 0.6378  1 I 2.02, 1 Er 2.25
8 O 0.0317 0.6616 0.8622  1 I 2.02, 1 Er 2.25
9 O 0.3384 0.3701 0.8622  1 I 2.02, 1 Er 2.25
10 O 0.3384 0.9683 0.6378  1 I 2.02, 1 Er 2.25
11 O 0.3701 0.0317 0.1378  1 I 2.02, 1 Er 2.25
12 O 0.3701 0.3384 0.3622  1 I 2.02, 1 Er 2.25
13 O 0.6299 0.6616 0.6378  1 I 2.02, 1 Er 2.25
14 O 0.6299 0.9683 0.8622  1 I 2.02, 1 Er 2.25
15 O 0.6616 0.0317 0.3622  1 I 2.02, 1 Er 2.25
16 O 0.6616 0.6299 0.1378  1 I 2.02, 1 Er 2.25
17 O 0.9683 0.3384 0.1378  1 I 2.02, 1 Er 2.25
18 O 0.9683 0.6299 0.3622  1 I 2.02, 1 Er 2.25

---

Density functional theory data (PBE) for crystalline NdErPI at its relaxed geometry.

Calculated values
Raw formation energy ... -1.323 eV per atom
Space-group type ... R3m, No. 160
Raw total energy ... -5.395 eV/atom

a = 7.9010 Å, b = 7.9010 Å, c = 7.9010 Å
α = 30.11°, β = 30.11°, γ = 30.11°
Closest atoms and distances in Å follow each position.
Atoms (fractional coordinates):
1 Nd 0.0000 0.0000 0.0000  3 P 2.86
2 Er 0.7946 0.7946 0.7946  3 P 2.70
3 P 0.4043 0.4043 0.4043  3 Er 2.70, 3 Nd 2.86
4 I 0.2264 0.2264 0.2264  3 Er 3.25, 3 Nd 3.39

---

Density functional theory data (PBE) for crystalline NdErRhI at its relaxed geometry.

Calculated values
Raw formation energy ... -0.933 eV per atom
Space-group type ... R3m, No. 160
Raw total energy ... -5.491 eV/atom

a = 8.3845 Å, b = 8.3845 Å, c = 8.3845 Å
α = 28.31°, β = 28.31°, γ = 28.31°
Closest atoms and distances in Å follow each position.
Atoms (fractional coordinates):
1 Nd 0.0000 0.0000 0.0000  3 Rh 2.83
2 Er 0.2115 0.2115 0.2115  3 Rh 2.74
3 Rh 0.6021 0.6021 0.6021  3 Er 2.74, 3 Nd 2.83
4 I 0.7751 0.7751 0.7751  3 Er 3.44, 3 Nd 3.53

---

Density functional theory data (PBE) for crystalline Er2NiI at its relaxed geometry.

Calculated values
Raw formation energy ... -0.653 eV per atom
Space-group type ... R3m, No. 160
Raw total energy ... -4.768 eV/atom

a = 8.1222 Å, b = 8.1222 Å, c = 8.1222 Å
α = 28.44°, β = 28.44°, γ = 28.44°
Closest atoms and distances in Å follow each position.
Atoms (fractional coordinates):
1 Er 0.0000 0.0000 0.0000  3 Ni 2.68
2 Er 0.2161 0.2161 0.2161  3 Ni 2.68
3 Ni 0.6082 0.6082 0.6082  6 Er 2.68
4 I 0.7760 0.7760 0.7760  6 Er 3.40-3.44

---

Density functional theory data (PBE) for crystalline ErNiI2 at its relaxed geometry.

Calculated values
Raw formation energy ... -0.030 eV per atom
Space-group type ... R-3m, No. 166
Raw total energy ... -3.391 eV/atom

a = 9.2902 Å, b = 9.2902 Å, c = 9.2902 Å
α = 24.42°, β = 24.42°, γ = 24.42°
Closest atoms and distances in Å follow each position.
Atoms (fractional coordinates):
1 Er 0.0000 0.0000 0.0000  2 I 2.99
2 Ni 0.5000 0.5000 0.5000  6 I 2.73
3 I 0.1105 0.1105 0.1105  3 Ni 2.73, 1 Er 2.99
4 I 0.8895 0.8895 0.8895  3 Ni 2.73, 1 Er 2.99

---

Density functional theory data (PBE) for crystalline Er2NiI2 at its relaxed geometry.

Calculated values
Raw formation energy ... -0.879 eV per atom
Space-group type ... C2/m, No. 12
Raw total energy ... -4.481 eV/atom

a = 3.9933 Å, b = 3.9933 Å, c = 12.2308 Å
α = 100.43°, β = 100.43°, γ = 59.98°
Closest atoms and distances in Å follow each position.
Atoms (fractional coordinates):
1 Er 0.2128 0.2128 0.1249  3 Ni 2.75
2 Er 0.7872 0.7872 0.8751  3 Ni 2.75
3 Ni 0.5000 0.5000 0.0000  6 Er 2.75
4 I 0.0539 0.0539 0.6957  3 Er 3.15
5 I 0.9461 0.9461 0.3043  3 Er 3.15

---

Density functional theory data (PBE) for crystalline ErNiI at its relaxed geometry.

Calculated values
Raw formation energy ... -0.784 eV per atom
Space-group type ... Cmcm, No. 63
Raw total energy ... -4.749 eV/atom

a = 10.5013 Å, b = 10.5013 Å, c = 4.0780 Å
α = 90.00°, β = 90.00°, γ = 159.34°
Closest atoms and distances in Å follow each position.
Atoms (fractional coordinates):
1 Er 0.0703 0.9297 0.7500  6 Ni 2.82-2.89
2 Er 0.9297 0.0703 0.2500  6 Ni 2.82-2.89
3 Ni 0.4687 0.5313 0.7500  2 Ni 2.42, 1 I 2.66
4 Ni 0.5313 0.4687 0.2500  2 Ni 2.42, 1 I 2.66
5 I 0.3397 0.6603 0.7500  1 Ni 2.66
6 I 0.6603 0.3397 0.2500  1 Ni 2.66

---

Density functional theory data (PBE) for crystalline Er3NiI3 at its relaxed geometry.

Calculated values
Raw formation energy ... -0.925 eV per atom
Space-group type ... P2_1/m, No. 11
Raw total energy ... -4.370 eV/atom

a = 8.9351 Å, b = 4.0653 Å, c = 12.1266 Å
α = 90.00°, β = 92.87°, γ = 90.00°
Closest atoms and distances in Å follow each position.
Atoms (fractional coordinates):
1 Er 0.1032 0.2500 0.3205  1 Ni 2.63
2 Er 0.1151 0.2500 0.8790  3 Ni 2.70-2.76
3 Er 0.2770 0.7500 0.1092  2 Ni 2.68
4 Er 0.7230 0.2500 0.8908  2 Ni 2.68
5 Er 0.8849 0.7500 0.1210  3 Ni 2.70-2.76
6 Er 0.8968 0.7500 0.6795  1 Ni 2.63
7 Ni 0.0815 0.2500 0.1036  6 Er 2.63-2.76
8 Ni 0.9185 0.7500 0.8964  6 Er 2.63-2.76
9 I 0.1416 0.2500 0.6095  4 Er 3.13-3.50
10 I 0.3629 0.7500 0.3671  3 Er 3.12-3.18
11 I 0.4054 0.7500 0.8669  5 Er 3.21-3.49
12 I 0.5946 0.2500 0.1331  5 Er 3.21-3.49
13 I 0.6371 0.2500 0.6329  3 Er 3.12-3.18
14 I 0.8584 0.7500 0.3905  4 Er 3.13-3.50